# PaPbO3, optimized geometry, DFT PBE
# * calculated total energy: -218.291 eV for the cell shown
data_PaPbO3
_chemical_formula_sum 'Pa6 Pb6 O18'
_cell_length_a 6.5217
_cell_length_b 6.5217
_cell_length_c 13.5790
_cell_angle_alpha 90.00
_cell_angle_beta 90.00
_cell_angle_gamma 120.00
_space_group_name_H-M_alt 'R -3 c'
_space_group_IT_number 167
_space_group_name_Hall '-R 3 2"c'
loop_
_atom_site_label
_atom_site_type_symbol
_atom_site_fract_x
_atom_site_fract_y
_atom_site_fract_z
_atom_site_occupancy
Pa1 Pa 0.0000 0.0000 0.2500 1
Pb1 Pb 0.0000 0.0000 0.0000 1
O1 O 0.0005 0.3333 0.0833 1